{
  "formula": "Ti6Ga2Tc",
  "functional": "PBE",
  "state": "optimized geometry",
  "lattice_angstrom": [[4.973, 0.000, 0.534], [0.000, 7.400, 0.000], [0.039, 0.000, 8.229]],
  "species": ["Ti", "Ti", "Ti", "Ti", "Ti", "Ti", "Ti", "Ti", "Ti", "Ti", "Ti", "Ti", "Ga", "Ga", "Ga", "Ga", "Tc", "Tc"],
  "frac_coords": [[0.893, 0.965, 0.209], [0.907, 0.666, 0.550], [0.929, 0.689, 0.945], [0.571, 0.189, 0.555], [0.593, 0.166, 0.950], [0.607, 0.465, 0.291], [0.107, 0.035, 0.791], [0.093, 0.334, 0.450], [0.071, 0.311, 0.055], [0.429, 0.811, 0.445], [0.407, 0.834, 0.050], [0.393, 0.535, 0.709], [0.897, 0.384, 0.761], [0.603, 0.884, 0.739], [0.397, 0.116, 0.261], [0.103, 0.616, 0.239], [0.500, 0.500, 0.000], [0.000, 0.000, 0.500]],
  "formation_enthalpy_0k_kj_per_mol_fu": -166,
  "rho_g_cm3": 5.76,
  "e_tot_ev_per_cell": -131.0
}